Record 1
# Rb2CrCdBr6

An optimized crystal structure of Rb2CrCdBr6 (PBE, Alexandria).

Results
The polymorph energy (0 for the lowest one) comes out at 3 meV per atom. The formation energy from raw total energies comes out at -1.129 eV/atom.

abc: 7.7011 7.7011 7.7051
angles: 60.02 60.02 90.00
With the nearest neighbours (Å) after each atom.
Element x y z (fractional)
Br (0.2587, 0.7413, 0.0000)  1 Cr 2.63, 1 Cd 2.82
Br (0.7413, 0.7413, 0.0000)  1 Cr 2.63, 1 Cd 2.82
Rb (0.7500, 0.2500, 0.5000)  12 Br 3.85
Br (0.2590, 0.2590, 0.4820)  1 Cr 2.63, 1 Cd 2.82
Br (0.7413, 0.2587, 0.0000)  1 Cr 2.63, 1 Cd 2.82
Br (0.7410, 0.7410, 0.5180)  1 Cr 2.63, 1 Cd 2.82
Cr (0.5000, 0.5000, 0.0000)  6 Br 2.63
Rb (0.2500, 0.7500, 0.5000)  12 Br 3.85
Br (0.2587, 0.2587, 0.0000)  1 Cr 2.63, 1 Cd 2.82
Cd (0.0000, 0.0000, 0.0000)  6 Br 2.82


Record 2
# RbCrCdBr6

An optimized crystal structure of RbCrCdBr6 (PBE, Alexandria).

Results
The formation energy from raw total energies comes out at -1.013 eV/atom.

abc: 6.9911 6.9912 7.6516
angles: 90.01 90.00 60.00
With the nearest neighbours (Å) after each atom.
Element x y z (fractional)
Br (0.6446, 0.9703, 0.3048)  1 Cr 2.54, 1 Cd 2.81
Cd (0.3333, 0.3333, 0.5000)  6 Br 2.81
Br (0.3850, 0.6446, 0.3048)  1 Cr 2.54, 1 Cd 2.81
Cr (0.6666, 0.6667, 0.5000)  6 Br 2.54
Br (0.3850, 0.9704, 0.6952)  1 Cr 2.54, 1 Cd 2.81
Rb (0.0000, 0.0000, 0.0000)  6 Br 3.49
Br (0.9703, 0.6446, 0.6952)  1 Cr 2.54, 1 Cd 2.81
Br (0.6445, 0.3851, 0.6952)  1 Cr 2.54, 1 Cd 2.81
Br (0.9704, 0.3850, 0.3048)  1 Cr 2.54, 1 Cd 2.81


Record 3
# Rb2CrCdBr6

An optimized crystal structure of Rb2CrCdBr6 (PBE, Alexandria).

Results
The polymorph energy (0 for the lowest one) comes out at 0 meV per atom. The formation energy from raw total energies comes out at -1.132 eV/atom.

abc: 7.6601 7.6708 10.8890
angles: 90.00 89.89 90.00
With the nearest neighbours (Å) after each atom.
Element x y z (fractional)
Br (0.7709, 0.7902, 0.9757)  1 Cr 2.64, 1 Cd 2.85
Rb (0.0068, 0.9667, 0.2501)  8 Br 3.52-3.77
Cr (0.0000, 0.5000, 0.5000)  6 Br 2.64-2.66
Br (0.7291, 0.2902, 0.5243)  1 Cr 2.64, 1 Cd 2.85
Rb (0.5068, 0.5333, 0.7501)  8 Br 3.52-3.77
Cd (0.5000, 0.0000, 0.5000)  6 Br 2.83-2.85
Br (0.5457, 0.9991, 0.2418)  1 Cr 2.66, 1 Cd 2.83
Br (0.2094, 0.2274, 0.4774)  1 Cr 2.65, 1 Cd 2.84
Br (0.2291, 0.2098, 0.0243)  1 Cr 2.64, 1 Cd 2.85
Br (0.9543, 0.4991, 0.2582)  1 Cr 2.66, 1 Cd 2.83
Br (0.7094, 0.2726, 0.9774)  1 Cr 2.65, 1 Cd 2.84
Br (0.4543, 0.0009, 0.7582)  1 Cr 2.66, 1 Cd 2.83
Br (0.2709, 0.7098, 0.4757)  1 Cr 2.64, 1 Cd 2.85
Br (0.2906, 0.7274, 0.0226)  1 Cr 2.65, 1 Cd 2.84
Br (0.7906, 0.7726, 0.5226)  1 Cr 2.65, 1 Cd 2.84
Cd (0.0000, 0.5000, 0.0000)  6 Br 2.83-2.85
Rb (0.4932, 0.4667, 0.2499)  8 Br 3.52-3.77
Cr (0.5000, 0.0000, 0.0000)  6 Br 2.64-2.66
Rb (0.9932, 0.0333, 0.7499)  8 Br 3.52-3.77
Br (0.0457, 0.5009, 0.7418)  1 Cr 2.66, 1 Cd 2.83


Record 4
# CrCdSeBr2

An optimized crystal structure of CrCdSeBr2 (PBE, Alexandria).

Results
The polymorph energy (0 for the lowest one) comes out at 0 meV per atom. The formation energy from raw total energies comes out at -0.197 eV/atom.

abc: 4.9982 4.9982 5.1880
angles: 90.00 90.00 90.00
With the nearest neighbours (Å) after each atom.
Element x y z (fractional)
Cr (0.0000, 0.0000, 0.0000)  4 Br 2.50, 2 Se 2.59
Cd (0.5000, 0.5000, 0.5000)  4 Se 3.53, 8 Br 3.60
Br (0.0000, 0.5000, 0.0000)  2 Cr 2.50
Se (0.0000, 0.0000, 0.5000)  2 Cr 2.59
Br (0.5000, 0.0000, 0.0000)  2 Cr 2.50


Record 5
# SrCr2CdBr

An optimized crystal structure of SrCr2CdBr (PBE, Alexandria).

Results
The polymorph energy (0 for the lowest one) comes out at 0 meV per atom. The formation energy from raw total energies comes out at 0.536 eV/atom.

abc: 5.1405 6.5118 5.1405
angles: 90.00 90.00 90.00
With the nearest neighbours (Å) after each atom.
Element x y z (fractional)
Cr (0.0000, 0.0000, 0.5000)  2 Cd 2.57
Cd (0.0000, 0.0000, 0.0000)  4 Cr 2.57
Cr (0.5000, 0.0000, 0.0000)  2 Cd 2.57
Br (0.5000, 0.5000, 0.5000)  4 Sr 3.63
Sr (0.0000, 0.5000, 0.0000)  2 Cd 3.26, 4 Br 3.63


Record 6
# SrCr2CdBr

An optimized crystal structure of SrCr2CdBr (PBE, Alexandria).

Results
The polymorph energy (0 for the lowest one) comes out at 597 meV per atom. The formation energy from raw total energies comes out at 1.133 eV/atom.

abc: 4.5700 5.9556 4.5700
angles: 90.00 90.00 90.00
With the nearest neighbours (Å) after each atom.
Element x y z (fractional)
Sr (0.5000, 0.5000, 0.5000)  4 Cd 3.23
Cr (0.5000, 0.0000, 0.0000)  2 Br 2.28
Cd (0.0000, 0.5000, 0.0000)  2 Br 2.98, 4 Sr 3.23
Cr (0.0000, 0.0000, 0.5000)  2 Br 2.28
Br (0.0000, 0.0000, 0.0000)  4 Cr 2.28


Record 7
# Tl2CrCdBr6

An optimized crystal structure of Tl2CrCdBr6 (PBE, Alexandria).

Results
The formation energy from raw total energies comes out at -0.761 eV/atom.

abc: 7.3489 8.0070 10.7365
angles: 90.00 91.16 90.00
With the nearest neighbours (Å) after each atom.
Element x y z (fractional)
Br (0.2831, 0.6778, 0.4614)  1 Cr 2.56
Br (0.2169, 0.1778, 0.0386)  1 Cr 2.56
Tl (0.4719, 0.4123, 0.2523)  8 Br 3.35-3.68
Br (0.7920, 0.8145, 0.5374)  1 Cd 2.63
Cd (0.5000, 0.0000, 0.5000)  4 Br 2.63-2.95
Br (0.4176, 0.9983, 0.7677)  1 Cr 2.55
Br (0.2080, 0.1855, 0.4626)  1 Cd 2.63
Cr (0.5000, 0.0000, 0.0000)  4 Br 2.55-2.56
Br (0.7831, 0.8222, 0.9614)  1 Cr 2.56
Tl (0.9719, 0.0877, 0.7523)  8 Br 3.35-3.68
Tl (0.0281, 0.9123, 0.2477)  8 Br 3.35-3.68
Cr (0.0000, 0.5000, 0.5000)  4 Br 2.55-2.56
Cd (0.0000, 0.5000, 0.0000)  4 Br 2.63-2.95
Br (0.5824, 0.0017, 0.2323)  1 Cr 2.55
Br (0.7080, 0.3145, 0.9626)  1 Cd 2.63
Br (0.2920, 0.6855, 0.0374)  1 Cd 2.63
Br (0.0824, 0.4983, 0.7323)  1 Cr 2.55
Br (0.9176, 0.5017, 0.2677)  1 Cr 2.55
Br (0.7169, 0.3222, 0.5386)  1 Cr 2.56
Tl (0.5281, 0.5877, 0.7477)  8 Br 3.35-3.68


Record 8
# Zn2CrCdBr

An optimized crystal structure of Zn2CrCdBr (PBE, Alexandria).

Results
The formation energy from raw total energies comes out at 0.361 eV/atom.

abc: 5.2409 5.0408 5.2409
angles: 90.00 90.00 90.00
With the nearest neighbours (Å) after each atom.
Element x y z (fractional)
Cr (0.0000, 0.0000, 0.0000)  2 Br 2.52, 4 Zn 2.62
Zn (0.0000, 0.0000, 0.5000)  2 Cr 2.62
Zn (0.5000, 0.0000, 0.0000)  2 Cr 2.62
Cd (0.5000, 0.5000, 0.5000)  8 Zn 3.64, 4 Br 3.71
Br (0.0000, 0.5000, 0.0000)  2 Cr 2.52


Record 9
# ZnCr2CdBr

An optimized crystal structure of ZnCr2CdBr (PBE, Alexandria).

Results
The formation energy from raw total energies comes out at 1.121 eV/atom.

abc: 5.3545 5.6127 5.3545
angles: 90.00 90.00 90.00
With the nearest neighbours (Å) after each atom.
Element x y z (fractional)
Cr (0.0000, 0.0000, 0.5000)  2 Cd 2.68
Br (0.0000, 0.5000, 0.0000)  2 Cd 2.81
Cd (0.0000, 0.0000, 0.0000)  4 Cr 2.68, 2 Br 2.81
Zn (0.5000, 0.5000, 0.5000)  4 Br 3.79, 8 Cr 3.88
Cr (0.5000, 0.0000, 0.0000)  2 Cd 2.68


Record 10
# Cs8Cd2Br

An optimized crystal structure of Cs8Cd2Br (PBE, Alexandria).

Results
The formation energy from raw total energies comes out at -0.300 eV/atom.

abc: 5.3984 12.8746 12.8874
angles: 94.07 102.09 90.00
With the nearest neighbours (Å) after each atom.
Element x y z (fractional)
Cs (0.0023, 0.1916, 0.0046)  2 Br 3.65
Cs (0.6529, 0.9773, 0.3059)  1 Br 3.89, 2 Cd 4.11
Cd (0.8347, 0.2604, 0.6693)  7 Cs 4.03-4.38
Cs (0.7799, 0.6796, 0.5598)  2 Cd 4.07
Cs (0.2201, 0.3204, 0.4402)  2 Cd 4.07
Br (0.5000, 0.0000, 0.0000)  6 Cs 3.65-3.89
Cs (0.3471, 0.0227, 0.6941)  1 Br 3.89, 2 Cd 4.11
Cs (0.4023, 0.4618, 0.8046)  2 Cd 4.03
Cd (0.1653, 0.7396, 0.3307)  7 Cs 4.03-4.38
Cs (0.5977, 0.5382, 0.1954)  2 Cd 4.03
Cs (0.9977, 0.8084, 0.9954)  2 Br 3.65


> Number 8 is which compound?

Zn2CrCdBr